# 1
14
Lattice="7.788 -5.392 0.000 7.788 5.392 0.000 -4.825 0.000 11.450" Properties=species:S:1:pos:R:3 comment="Cs5HgH | the Alexandria database | PBE | relaxed" dft_energy_ev_per_atom=-1.20 density_g_cm3=2.99 sg="C2/c, No. 15" pbc="T T T"
Cs 4.169 4.710 8.588
Cs 0.500 0.765 7.195
Cs 6.872 2.173 0.295
Cs 2.913 -0.765 1.470
Cs 6.291 2.173 5.430
Cs 4.460 -2.173 6.020
Cs 7.839 0.765 9.980
Cs 3.879 -2.173 11.155
Cs 10.251 -0.765 4.255
Cs 6.582 -4.710 2.863
Hg 4.169 0.861 8.588
Hg 6.582 -0.861 2.863
H 0.000 0.000 0.000
H -2.412 0.000 5.725


# 2
11
Lattice="4.373 0.000 0.000 0.005 6.023 0.000 2.178 2.927 10.310" Properties=species:S:1:pos:R:3 comment="Cs2Hg4H5 | the Alexandria database | PBE | relaxed" dft_energy_ev_per_atom=-1.77 density_g_cm3=6.56 sg="P-1, No. 2" pbc="T T T"
Cs 1.085 3.371 2.876
Cs 5.471 5.579 7.434
Hg 3.284 8.529 9.163
Hg 3.286 2.599 6.110
Hg 3.269 6.351 4.200
Hg 3.272 0.421 1.147
H 3.280 6.871 9.404
H 3.286 4.177 9.067
H 3.278 4.475 5.155
H 3.270 4.774 1.243
H 3.276 2.079 0.906


# 3
18
Lattice="-4.189 4.189 6.328 4.189 -4.189 6.328 4.189 4.189 -6.328" Properties=species:S:1:pos:R:3 comment="Cs3HgH5 | the Alexandria database | PBE | relaxed" dft_energy_ev_per_atom=-2.33 density_g_cm3=4.52 sg="I4/mcm, No. 140" pbc="T T T"
Cs 5.705 1.516 0.000
Cs 0.000 0.000 3.164
Cs 1.516 2.673 0.000
Cs 2.673 1.516 6.328
Cs 0.000 0.000 9.491
Cs -1.516 2.673 6.328
Hg 4.189 0.000 3.164
Hg 0.000 4.189 3.164
H 0.000 0.000 0.000
H 5.223 -1.035 2.073
H 3.154 -1.035 4.254
H 3.154 1.035 2.073
H 5.223 1.035 4.254
H 0.000 0.000 6.328
H -1.035 3.154 2.073
H 1.035 3.154 4.254
H 1.035 5.223 2.073
H -1.035 5.223 4.254


# 4
9
Lattice="5.832 -3.011 0.000 5.832 3.011 0.000 -0.120 0.000 5.126" Properties=species:S:1:pos:R:3 comment="Cs2HgH6 | the Alexandria database | PBE | relaxed" dft_energy_ev_per_atom=-2.27 e_above_lowest_polymorph_ev_per_atom=0.2287 density_g_cm3=4.36 sg="C2/m, No. 12" pbc="T T T"
Cs 2.065 0.000 1.084
Cs 9.479 0.000 4.042
Hg 5.772 0.000 2.563
H 5.199 1.179 1.529
H 3.564 0.000 3.630
H 6.345 1.179 3.597
H 5.199 -1.179 1.529
H 7.980 0.000 1.496
H 6.345 -1.179 3.597


# 5
11
Lattice="5.481 -3.058 0.000 5.481 3.058 0.000 -5.329 0.000 6.338" Properties=species:S:1:pos:R:3 comment="CsHg2H8 | the Alexandria database | PBE | relaxed" dft_energy_ev_per_atom=-2.50 density_g_cm3=4.24 sg="C2/m, No. 12" pbc="T T T"
Cs 0.000 0.000 0.000
Hg 1.723 0.000 3.920
Hg 3.910 0.000 2.418
H -2.367 0.000 3.402
H 2.827 1.310 0.314
H 0.127 0.000 4.581
H 2.827 -1.310 0.314
H 2.806 1.310 6.024
H 5.507 0.000 1.758
H 2.806 -1.310 6.024
H 8.000 0.000 2.936


# 6
16
Lattice="4.926 0.000 0.000 0.000 27.678 0.000 0.000 0.000 5.049" Properties=species:S:1:pos:R:3 comment="Cs2HgH | the Alexandria database | PBE | relaxed" dft_energy_ev_per_atom=-1.49 e_above_lowest_polymorph_ev_per_atom=0.0000 density_g_cm3=4.51 sg="Cmcm, No. 63" pbc="T T T"
Cs 0.000 2.272 1.262
Cs 0.000 8.470 1.262
Cs 0.000 19.209 3.787
Cs 0.000 25.406 3.787
Cs 2.463 5.370 3.787
Cs 2.463 11.567 3.787
Cs 2.463 16.112 1.262
Cs 2.463 22.309 1.262
Hg 0.000 12.984 1.262
Hg 0.000 14.695 3.787
Hg 2.463 0.855 3.787
Hg 2.463 26.823 1.262
H 0.000 5.471 1.262
H 0.000 22.207 3.787
H 2.463 8.368 3.787
H 2.463 19.311 1.262


Please write out number 5 again, unchanged.
11
Lattice="5.481 -3.058 0.000 5.481 3.058 0.000 -5.329 0.000 6.338" Properties=species:S:1:pos:R:3 comment="CsHg2H8 | the Alexandria database | PBE | relaxed" dft_energy_ev_per_atom=-2.50 density_g_cm3=4.24 sg="C2/m, No. 12" pbc="T T T"
Cs 0.000 0.000 0.000
Hg 1.723 0.000 3.920
Hg 3.910 0.000 2.418
H -2.367 0.000 3.402
H 2.827 1.310 0.314
H 0.127 0.000 4.581
H 2.827 -1.310 0.314
H 2.806 1.310 6.024
H 5.507 0.000 1.758
H 2.806 -1.310 6.024
H 8.000 0.000 2.936